Entry from the Alexandria database: crystalline Er6Tm12Zr at its relaxed geometry (PBE).

```
Er6Tm12Zr
1.0
-4.5612 3.3378 6.3617
-6.0387 -4.8528 -3.5215
4.1198 -6.0241 4.3765
Er Tm Zr
6 12 1
direct
0.9005 0.3333 0.9005 Er
0.9005 0.9005 0.3333 Er
0.3333 0.9005 0.9005 Er
0.0995 0.0995 0.6667 Er
0.0995 0.6667 0.0995 Er
0.6667 0.0995 0.0995 Er
0.7553 0.2447 0.5000 Tm
0.3495 0.0804 0.3495 Tm
0.3495 0.3495 0.0804 Tm
0.9196 0.6505 0.6505 Tm
0.6505 0.6505 0.9196 Tm
0.6505 0.9196 0.6505 Tm
0.5000 0.7553 0.2447 Tm
0.2447 0.5000 0.7553 Tm
0.2447 0.7553 0.5000 Tm
0.5000 0.2447 0.7553 Tm
0.7553 0.5000 0.2447 Tm
0.0804 0.3495 0.3495 Tm
0.0000 0.0000 0.0000 Zr
```

Energy of formation in eV/atom: 0.2491
E_tot in eV per atom: -4.466
Space-group type: R-3m (166)